# 1
Entry from the Alexandria database: crystalline Rb2LiBi at its relaxed geometry (PBE).

Output
- E_form: -0.396 eV/atom

Cell: 11.346 9.007 6.691 Å, 90.00 90.00 90.00°
Space group Cmcm (No. 63)
One atom of each set of equivalent atoms:
Rb (0.169, 0.138, 0.250) x8
Li (0.000, 0.500, 0.000) x4
Bi (0.000, 0.253, 0.750) x4

---

# 2
Entry from the Alexandria database: crystalline La2P4RuPt3 at its relaxed geometry (PBE).

Output
- E_form: -1.020 eV/atom

Cell: 4.254 4.254 9.830 Å, 90.00 90.00 90.00°
Space group P-4m2 (No. 115)
One atom of each set of equivalent atoms:
La (0.000, 0.500, 0.246) x2
P (0.000, 0.000, 0.000) x1
P (0.000, 0.500, 0.634) x2
P (0.500, 0.500, 0.000) x1
Ru (0.000, 0.000, 0.500) x1
Pt (0.000, 0.500, 0.883) x2
Pt (0.500, 0.500, 0.500) x1

---

# 3
Entry from the Alexandria database: crystalline Ca2Al4Zn3Ag at its relaxed geometry (PBE).

Output
- E_form: -0.240 eV/atom

Cell: 4.207 4.207 11.297 Å, 90.00 90.00 90.00°
Space group P-4m2 (No. 115)
One atom of each set of equivalent atoms:
Ca (0.000, 0.500, 0.248) x2
Al (0.000, 0.000, 0.000) x1
Al (0.000, 0.500, 0.638) x2
Al (0.500, 0.500, 0.000) x1
Zn (0.000, 0.500, 0.861) x2
Zn (0.500, 0.500, 0.500) x1
Ag (0.000, 0.000, 0.500) x1

---

# 4
Entry from the Alexandria database: crystalline CaTiNi2Bi at its relaxed geometry (PBE).

Output
- E_form: 1.250 eV/atom

Cell: 4.498 4.498 5.664 Å, 90.00 90.00 90.00°
Space group P4/mmm (No. 123)
One atom of each set of equivalent atoms:
Ca (0.000, 0.000, 0.000) x1
Ti (0.500, 0.500, 0.500) x1
Ni (0.000, 0.500, 0.000) x2
Bi (0.000, 0.000, 0.500) x1

---

# 5
Entry from the Alexandria database: crystalline Dy3Ho4Zr at its relaxed geometry (PBE).

Output
- E_form: 0.204 eV/atom

Cell: 22.564 3.387 6.672 Å, 90.00 107.20 90.00°
Space group C2/m (No. 12)
One atom of each set of equivalent atoms:
Dy (0.000, 0.000, 0.000) x2
Dy (0.120, 0.000, 0.385) x4
Ho (0.120, 0.000, 0.854) x4
Ho (0.241, 0.500, 0.742) x4
Zr (0.000, 0.500, 0.500) x2

---

# 6
Entry from the Alexandria database: crystalline Mg3CdHg5 at its relaxed geometry (PBE).

Output
- E_form: -0.112 eV/atom

Cell: 8.6782 8.6782 6.2279 Å, 90.00 90.00 120.00°
Space group P6_3/mcm (No. 193)
One atom of each set of equivalent atoms:
Mg (0.0000, 0.3598, 0.2500) x6
Cd (0.0000, 0.0000, 0.0000) x2
Hg (0.0000, 0.3085, 0.7500) x6
Hg (0.3333, 0.6667, 0.0000) x4

---

# 7
Entry from the Alexandria database: crystalline MnAlRe2 at its relaxed geometry (PBE).

Output
- E_form: -0.020 eV/atom

Cell: 3.037 4.198 4.326 Å, 90.00 90.00 90.00°
Space group Pmmm (No. 47)
One atom of each set of equivalent atoms:
Mn (0.000, 0.000, 0.000) x1
Al (0.500, 0.000, 0.500) x1
Re (0.000, 0.500, 0.500) x1
Re (0.500, 0.500, 0.000) x1

---

# 8
Entry from the Alexandria database: crystalline SrTlBO3 at its relaxed geometry (PBE).

Output
- Uncorrected energy: -77.71 eV for the cell shown

Cell: 5.7105 5.7105 6.8623 Å, 90.00 90.00 120.00°
Space group P6_3/mmc (No. 194)
One atom of each set of equivalent atoms:
Sr (0.0000, 0.0000, 0.0000) x2
Tl (0.3333, 0.6667, 0.2500) x2
B (0.3333, 0.6667, 0.7500) x2
O (0.1917, 0.3834, 0.7500) x6

---

# 9
Entry from the Alexandria database: crystalline Y2Al4InAu3 at its relaxed geometry (PBE).

Output
- E_form: -0.623 eV/atom

Cell: 4.293 4.293 11.070 Å, 90.00 90.00 90.00°
Space group P-4m2 (No. 115)
One atom of each set of equivalent atoms:
Y (0.000, 0.500, 0.245) x2
Al (0.000, 0.000, 0.000) x1
Al (0.000, 0.500, 0.649) x2
Al (0.500, 0.500, 0.000) x1
In (0.000, 0.000, 0.500) x1
Au (0.000, 0.500, 0.870) x2
Au (0.500, 0.500, 0.500) x1

---

# 10
Entry from the Alexandria database: crystalline SmBiH at its relaxed geometry (PBE).

Output
- Uncorrected energy: -50.87 eV for the cell shown

Cell: 6.382 6.314 7.612 Å, 90.00 92.67 90.00°
Space group C2/m (No. 12)
One atom of each set of equivalent atoms:
Sm (0.211, 0.000, 0.173) x4
Bi (0.000, 0.253, 0.500) x4
H (0.139, 0.000, 0.885) x4

---

# 11
Entry from the Alexandria database: crystalline CaDy2PaAs4 at its relaxed geometry (PBE).

Output
- E_form: -1.341 eV/atom

Cell: 7.141 4.142 7.143 Å, 90.00 109.18 90.00°
Space group P2/m (No. 10)
One atom of each set of equivalent atoms:
Ca (0.000, 0.000, 0.000) x1
Dy (0.000, 0.500, 0.500) x1
Dy (0.500, 0.000, 0.500) x1
Pa (0.500, 0.500, 0.000) x1
As (0.256, 0.000, 0.752) x2
As (0.260, 0.500, 0.250) x2

---

# 12
Entry from the Alexandria database: crystalline Rb2LiICl6 at its relaxed geometry (PBE).

Output
- Uncorrected energy: -53.45 eV for the cell shown

Cell: 7.982 7.982 9.094 Å, 90.00 90.00 90.00°
Space group I4/mmm (No. 139)
One atom of each set of equivalent atoms:
Rb (0.000, 0.500, 0.250) x4
Li (0.000, 0.000, 0.000) x2
I (0.000, 0.000, 0.500) x2
Cl (0.000, 0.000, 0.238) x4
Cl (0.234, 0.234, 0.000) x8

---

# 13
Entry from the Alexandria database: crystalline Ba7Na2In2 at its relaxed geometry (PBE).

Output
- E_form: -0.004 eV/atom

Cell: 8.879 12.835 10.028 Å, 90.00 90.00 90.00°
Space group Cmmm (No. 65)
One atom of each set of equivalent atoms:
Ba (0.000, 0.000, 0.000) x2
Ba (0.000, 0.500, 0.315) x4
Ba (0.250, 0.250, 0.305) x8
Na (0.000, 0.335, 0.000) x4
In (0.162, 0.000, 0.500) x4

---

# 14
Entry from the Alexandria database: crystalline PuNb2O6 at its relaxed geometry (PBE).

Output
- Uncorrected energy: -88.14 eV for the cell shown

Cell: 5.3125 5.3125 5.0563 Å, 90.00 90.00 120.00°
Space group P-31m (No. 162)
One atom of each set of equivalent atoms:
Pu (0.0000, 0.0000, 0.0000) x1
Nb (0.3333, 0.6667, 0.5000) x2
O (0.0000, 0.3515, 0.7221) x6

---

# 15
Entry from the Alexandria database: crystalline Lu2PtO at its relaxed geometry (PBE).

Output
- Uncorrected energy: -75.72 eV for the cell shown

Cell: 3.2103 3.2103 24.3205 Å, 90.00 90.00 120.00°
Space group R-3m (No. 166, hexagonal axes)
One atom of each set of equivalent atoms:
Lu (0.0000, 0.0000, 0.1077) x6
Pt (0.0000, 0.0000, 0.0000) x3
O (0.0000, 0.0000, 0.5000) x3

---

# 16
Entry from the Alexandria database: crystalline Zn3SO at its relaxed geometry (PBE).

Output
- Uncorrected energy: -13.75 eV for the cell shown

Cell: 4.279 4.279 4.279 Å, 90.00 90.00 90.00°
Space group Pm-3m (No. 221)
One atom of each set of equivalent atoms:
Zn (0.000, 0.000, 0.500) x3
S (0.500, 0.500, 0.500) x1
O (0.000, 0.000, 0.000) x1

---

# 17
Entry from the Alexandria database: crystalline CaBP3 at its relaxed geometry (PBE).

Output
- E_form: 0.313 eV/atom

Cell: 4.339 4.339 4.339 Å, 90.00 90.00 90.00°
Space group Pm-3m (No. 221)
One atom of each set of equivalent atoms:
Ca (0.000, 0.000, 0.000) x1
B (0.500, 0.500, 0.500) x1
P (0.000, 0.500, 0.500) x3

---

# 18
Entry from the Alexandria database: crystalline KHgPdO2 at its relaxed geometry (PBE).

Output
- Uncorrected energy: -73.91 eV for the cell shown

Cell: 7.142 12.975 4.435 Å, 90.00 90.00 90.00°
Space group Cmme (No. 67)
One atom of each set of equivalent atoms:
K (0.000, 0.250, 0.231) x4
Hg (0.000, 0.000, 0.000) x4
Pd (0.250, 0.000, 0.500) x4
O (0.000, 0.103, 0.626) x8

---

# 19
Entry from the Alexandria database: crystalline ZrTcSb2 at its relaxed geometry (PBE).

Output
- Uncorrected energy: -81.50 eV for the cell shown

Cell: 3.2766 3.2766 26.7096 Å, 90.00 90.00 120.00°
Space group R-3m (No. 166, hexagonal axes)
One atom of each set of equivalent atoms:
Zr (0.0000, 0.0000, 0.0000) x3
Tc (0.0000, 0.0000, 0.5000) x3
Sb (0.0000, 0.0000, 0.2408) x6

---

# 20
Entry from the Alexandria database: crystalline Na5CaTl6 at its relaxed geometry (PBE).

Output
- E_form: -0.134 eV/atom

Cell: 4.927 15.301 9.102 Å, 90.00 90.00 90.00°
Space group Cmmm (No. 65)
One atom of each set of equivalent atoms:
Na (0.000, 0.000, 0.000) x2
Na (0.000, 0.329, 0.500) x4
Na (0.000, 0.333, 0.000) x4
Ca (0.000, 0.000, 0.500) x2
Tl (0.000, 0.169, 0.250) x8
Tl (0.000, 0.500, 0.248) x4

---

# 21
Entry from the Alexandria database: crystalline K2PrCuBr6 at its relaxed geometry (PBE).

Output
- Uncorrected energy: -141.45 eV for the cell shown

Cell: 11.138 11.138 11.138 Å, 90.00 90.00 90.00°
Space group Fm-3m (No. 225)
One atom of each set of equivalent atoms:
K (0.250, 0.250, 0.250) x8
Pr (0.000, 0.000, 0.000) x4
Cu (0.000, 0.000, 0.500) x4
Br (0.000, 0.000, 0.260) x24

---

# 22
Entry from the Alexandria database: crystalline GeTe2S at its relaxed geometry (PBE).

Output
- Uncorrected energy: -39.28 eV for the cell shown

Cell: 3.3536 3.3536 30.2434 Å, 90.00 90.00 120.00°
Space group R-3m (No. 166, hexagonal axes)
One atom of each set of equivalent atoms:
Ge (0.0000, 0.0000, 0.0000) x3
Te (0.0000, 0.0000, 0.0963) x6
S (0.0000, 0.0000, 0.5000) x3

---

# 23
Entry from the Alexandria database: crystalline In2Sb2Te at its relaxed geometry (PBE).

Output
- Uncorrected energy: -33.34 eV for the cell shown

Cell: 4.244 4.244 17.238 Å, 90.00 90.00 90.00°
Space group I4/mmm (No. 139)
One atom of each set of equivalent atoms:
In (0.000, 0.000, 0.095) x4
Sb (0.000, 0.500, 0.250) x4
Te (0.000, 0.000, 0.500) x2

---

# 24
Entry from the Alexandria database: crystalline MgZr2C at its relaxed geometry (PBE).

Output
- E_form: 0.174 eV/atom

Cell: 6.973 6.973 6.431 Å, 90.00 90.00 90.00°
Space group I-42d (No. 122)
One atom of each set of equivalent atoms:
Mg (0.000, 0.000, 0.000) x4
Zr (0.157, 0.250, 0.625) x8
C (0.000, 0.000, 0.500) x4

---

| no. | DOS(E_F) (states/eV/atom) |
| --- | --- |
| 1 | 0.272 |
| 2 | 0.357 |
| 3 | 0.556 |
| 4 | 1.988 |
| 5 | 1.628 |
| 6 | 0.287 |
| 7 | 0.728 |
| 8 | 0.000 |
| 9 | 0.345 |
| 10 | 0.413 |
| 11 | 0.474 |
| 12 | 0.519 |
| 13 | 1.038 |
| 14 | 0.778 |
| 15 | 0.649 |
| 16 | 0.248 |
| 17 | 0.727 |
| 18 | 0.155 |
| 19 | 1.161 |
| 20 | 0.569 |
| 21 | 0.000 |
| 22 | 0.803 |
| 23 | 0.525 |
| 24 | 0.596 |